# 1
Material: CaBeNi2
Method: DFT, GGA-PBE
State: relaxed

a b c (Å): 2.9523 2.8365 7.1193
angles (deg): 66.54 90.00 90.00
Element x y z (fractional)
1 Be 0.5000 0.2500 0.2500
2 Ca 0.5000 0.7500 0.7500
3 Ni 0.0000 0.5676 0.4320
4 Ni 0.0000 0.9324 0.0680

Output
* DOS(E_F): 0.481 states/eV/atom
* formation energy from the elements: 5 meV/atom

# 2
Material: CaBeNi
Method: DFT, GGA-PBE
State: relaxed

a b c (Å): 4.4896 4.4896 4.4896
angles (deg): 60.00 60.00 60.00
Element x y z (fractional)
1 Ni 0.0000 0.0000 0.0000
2 Ca 0.7500 0.7500 0.7500
3 Be 0.5000 0.5000 0.5000

Output
* polymorph energy (0 for the lowest one): 1.074 eV per atom
* DOS(E_F): 0.636 states/eV/atom
* formation energy from the elements: 1022 meV/atom

# 3
Material: CaBeNi2
Method: DFT, GGA-PBE
State: relaxed

a b c (Å): 6.6596 3.9815 3.5448
angles (deg): 90.02 57.81 126.81
Element x y z (fractional)
1 Ni 0.0000 0.0000 0.0000
2 Ni 0.5000 0.0000 0.5000
3 Be 0.0000 0.5000 0.5000
4 Ca 0.5000 0.5000 0.0000

Output
* DOS(E_F): 0.305 states/eV/atom
* formation energy from the elements: 224 meV/atom

# 4
Material: CaBeNiP2
Method: DFT, GGA-PBE
State: relaxed

a b c (Å): 3.7345 3.7345 6.0599
angles (deg): 107.95 107.95 90.00
Element x y z (fractional)
1 Be 0.2500 0.7500 0.5000
2 Ni 0.7500 0.2500 0.5000
3 P 0.3639 0.3639 0.7277
4 P 0.6361 0.6361 0.2723
5 Ca 0.0000 0.0000 0.0000

Output
* DOS(E_F): 0.503 states/eV/atom
* formation energy from the elements: -688 meV/atom

# 5
Material: Ca2BeNiPb
Method: DFT, GGA-PBE
State: relaxed

a b c (Å): 5.3543 4.8308 5.3543
angles (deg): 90.00 90.00 90.00
Element x y z (fractional)
1 Pb 0.0000 0.5000 0.0000
2 Ca 0.5000 0.0000 0.0000
3 Ca 0.0000 0.0000 0.5000
4 Ni 0.0000 0.0000 0.0000
5 Be 0.5000 0.5000 0.5000

Output
* DOS(E_F): 0.393 states/eV/atom
* formation energy from the elements: 267 meV/atom

# 6
Material: Ca2BeNiPt
Method: DFT, GGA-PBE
State: relaxed

a b c (Å): 5.2535 3.8385 5.2535
angles (deg): 90.00 90.00 90.00
Element x y z (fractional)
1 Ca 0.5000 0.0000 0.0000
2 Ca 0.0000 0.0000 0.5000
3 Pt 0.5000 0.5000 0.5000
4 Ni 0.0000 0.5000 0.0000
5 Be 0.0000 0.0000 0.0000

Output
* DOS(E_F): 0.354 states/eV/atom
* formation energy from the elements: 64 meV/atom

# 7
Material: Ca2BeReNi
Method: DFT, GGA-PBE
State: relaxed

a b c (Å): 5.3023 4.2134 5.3023
angles (deg): 90.00 90.00 90.00
Site moments in Bohr magnetons follow the coordinates.
Element x y z (fractional)
1 Ni 0.5000 0.5000 0.5000  -0.02
2 Ca 0.5000 0.0000 0.0000  -0.03
3 Ca 0.0000 0.0000 0.5000  -0.01
4 Re 0.0000 0.0000 0.0000  -0.58
5 Be 0.0000 0.5000 0.0000  0.01

Output
* DOS(E_F): 1.385 states/eV/atom
* formation energy from the elements: 1210 meV/atom

# 8
Material: Ca2Be4Si3Ni
Method: DFT, GGA-PBE
State: relaxed

a b c (Å): 3.8198 3.8198 9.8905
angles (deg): 90.00 90.00 90.00
Element x y z (fractional)
1 Ca 0.0000 0.5000 0.7505
2 Ca 0.5000 0.0000 0.2495
3 Si 0.5000 0.0000 0.8670
4 Si 0.0000 0.5000 0.1330
5 Si 0.0000 0.0000 0.5000
6 Be 0.5000 0.0000 0.6304
7 Be 0.5000 0.5000 0.0000
8 Be 0.0000 0.0000 0.0000
9 Be 0.0000 0.5000 0.3696
10 Ni 0.5000 0.5000 0.5000

Output
* ΔE_f (raw): -0.27 eV per atom
* DOS(E_F): 0.338 states/eV/atom

# 9
Material: CaBeSi2Ni
Method: DFT, GGA-PBE
State: relaxed

a b c (Å): 3.9056 3.9056 5.6677
angles (deg): 110.15 110.15 90.00
Element x y z (fractional)
1 Ca 0.0000 0.0000 0.0000
2 Ni 0.2500 0.7500 0.5000
3 Si 0.3769 0.3769 0.7538
4 Si 0.6231 0.6231 0.2462
5 Be 0.7500 0.2500 0.5000

Output
* ΔE_f (raw): -0.46 eV per atom
* DOS(E_F): 0.652 states/eV/atom

# 10
Material: CaBeTc2Ni
Method: DFT, GGA-PBE
State: relaxed

a b c (Å): 4.2556 4.2935 4.2556
angles (deg): 90.00 90.00 90.00
Element x y z (fractional)
1 Tc 0.0000 0.0000 0.5000
2 Tc 0.5000 0.0000 0.0000
3 Ni 0.0000 0.5000 0.0000
4 Be 0.0000 0.0000 0.0000
5 Ca 0.5000 0.5000 0.5000

Output
* DOS(E_F): 1.155 states/eV/atom
* formation energy from the elements: 581 meV/atom

# 11
Material: Ca2YBeNi
Method: DFT, GGA-PBE
State: relaxed

a b c (Å): 5.3121 5.1383 5.3121
angles (deg): 90.00 90.00 90.00
Element x y z (fractional)
1 Ca 0.5000 0.0000 0.0000
2 Ca 0.0000 0.0000 0.5000
3 Ni 0.0000 0.0000 0.0000
4 Y 0.0000 0.5000 0.0000
5 Be 0.5000 0.5000 0.5000

Output
* DOS(E_F): 1.091 states/eV/atom
* formation energy from the elements: 370 meV/atom

# 12
Material: CaNp2BeO8
Method: DFT, GGA-PBE
State: relaxed

a b c (Å): 4.9253 4.8896 6.8410
angles (deg): 94.35 87.55 85.29
Site moments in Bohr magnetons follow the coordinates.
Element x y z (fractional)
1 O 0.8353 0.1671 0.1850  -0.04
2 O 0.2374 0.7693 0.2474  -0.06
3 O 0.3178 0.3318 0.5111  -0.05
4 O 0.7626 0.2307 0.7526  -0.06
5 O 0.3243 0.3166 0.0057  -0.06
6 O 0.6822 0.6682 0.4889  -0.05
7 O 0.1647 0.8329 0.8150  -0.04
8 O 0.6757 0.6834 0.9943  -0.06
9 Be 0.0000 0.0000 0.0000  0.00
10 Np 0.4790 0.5242 0.7594  1.21
11 Np 0.5210 0.4758 0.2406  1.21
12 Ca 0.0000 0.0000 0.5000  0.00

Output
* ΔE_f (raw): -2.64 eV per atom
* DOS(E_F): 0.385 states/eV/atom

Number 1: total moment 0.000 Bohr magnetons per cell, density 5.05 g/cm³. Number 2: total moment 0.000 Bohr magnetons per cell, density 2.80 g/cm³. Number 3: total moment 0.000 Bohr magnetons per cell, density 4.92 g/cm³. Number 4: total moment 0.000 Bohr magnetons per cell, density 3.71 g/cm³. Number 5: total moment 0.000 Bohr magnetons per cell, density 4.26 g/cm³. Number 6: total moment 0.000 Bohr magnetons per cell, density 5.38 g/cm³. Number 7: total moment 0.712 Bohr magnetons per cell, density 4.68 g/cm³. Number 8: total moment 0.000 Bohr magnetons per cell, density 2.98 g/cm³. Number 9: total moment 0.000 Bohr magnetons per cell, density 3.61 g/cm³. Number 10: total moment 0.000 Bohr magnetons per cell, density 6.49 g/cm³. Number 11: total moment 0.000 Bohr magnetons per cell, density 2.71 g/cm³. Number 12: total moment 2.000 Bohr magnetons per cell, density 6.61 g/cm³.